[1]
# Er3Tm3TlIn2

A geometry-optimized Er3Tm3TlIn2 structure (PBE, the Alexandria database).

Cell: 8.8318 8.8318 3.7244 Å, 90.00 90.00 120.00°
Space group P-62m (No. 189)
Unique sites:
Er  0.0000  0.7117  0.0000
Tm  0.0000  0.3811  0.5000
Tl  0.0000  0.0000  0.5000
In  0.3333  0.6667  0.0000

## Properties
Calculated volume = 28.0 Å³ per atom
Spin magnetization = 1.5 μB per cell
Energy relative to the elements = -0.28 eV per atom

***

[2]
# Y3Er3TlIn2

A geometry-optimized Y3Er3TlIn2 structure (PBE, the Alexandria database).

Cell: 8.8864 8.8864 3.7810 Å, 90.00 90.00 120.00°
Space group P-62m (No. 189)
Unique sites:
Y  0.0000  0.7136  0.0000
Er  0.0000  0.3830  0.5000
Tl  0.0000  0.0000  0.5000
In  0.3333  0.6667  0.0000

## Properties
Calculated volume = 28.7 Å³ per atom
Spin magnetization = 2.1 μB per cell
Energy relative to the elements = -0.30 eV per atom

***

[3]
# YEr5Tl2In

A geometry-optimized YEr5Tl2In structure (PBE, the Alexandria database).

Cell: 7.5152 7.5152 18.9116 Å, 90.00 90.00 90.00°
Space group I4/mcm (No. 140)
Unique sites:
Y  0.0000  0.5000  0.2500
Er  0.0000  0.0000  0.0000
Er  0.2088  0.2912  0.1307
Tl  0.1297  0.3703  0.5000
In  0.0000  0.0000  0.2500

## Properties
Calculated volume = 29.7 Å³ per atom
Spin magnetization = 0.0 μB per cell
Energy relative to the elements = 0.01 eV per atom